Crystalline HoMg2B6 at its relaxed geometry. Source: Alexandria via LeMat-Bulk, functional PBE.

Properties
* SG: No. 191
* Fermi-level density of states: 1.01 states/eV/f.u.
* M_tot: 0.00 μB per cell
* DFT formation energy: -0.281 eV/atom

Lattice parameters (Å, degrees): 3.6659 5.4467 5.4467 120.00 90.00 90.00
With the nearest neighbours (Å) after each atom.
Fractional coordinates of all 9 atoms:
Ho: 0.0000 0.0000 0.0000  12 B 2.60
Mg: 0.0000 0.3333 0.6667  12 B 2.57
Mg: 0.0000 0.6667 0.3333  12 B 2.57
B: 0.5000 0.3380 0.3380  3 B 1.76-1.84
B: 0.5000 0.6620 0.6620  3 B 1.76-1.84
B: 0.5000 0.0000 0.6620  3 B 1.76-1.84
B: 0.5000 0.6620 0.0000  3 B 1.76-1.84
B: 0.5000 0.3380 0.0000  3 B 1.76-1.84
B: 0.5000 0.0000 0.3380  3 B 1.76-1.84